# 1
# NpGa2Pt3, optimized geometry, DFT GGA-PBE
# Energy: -160.0 eV for the cell shown
# Energy of formation from the pure elements: -2.89 eV/f.u.
# Size of the total moment: 3.5 μB/f.u.
# Calculated volume: 19.09 Å³ per atom
data_NpGa2Pt3
_cell_length_a 7.039
_cell_length_b 12.271
_cell_length_c 5.303
_cell_angle_alpha 90.00
_cell_angle_beta 90.00
_cell_angle_gamma 90.00
_symmetry_space_group_name_H-M 'C m c m'
_symmetry_Int_Tables_number 63
_symmetry_space_group_name_Hall '-C 2c 2'
loop_
_atom_site_label
_atom_site_fract_x
_atom_site_fract_y
_atom_site_fract_z
Np1 0.000 0.188 0.250
Ga1 0.197 0.500 0.000
Pt1 0.000 0.358 0.750
Pt2 0.197 0.164 0.750

# 2
# Np2Ga2Pt5, optimized geometry, DFT GGA-PBE
# Energy: -133.2 eV for the cell shown
# Energy of formation from the pure elements: -4.44 eV/f.u.
# Size of the total moment: 6.8 μB/f.u.
# Calculated volume: 18.61 Å³ per atom
data_Np2Ga2Pt5
_cell_length_a 10.364
_cell_length_b 4.349
_cell_length_c 7.847
_cell_angle_alpha 90.00
_cell_angle_beta 108.73
_cell_angle_gamma 90.00
_symmetry_space_group_name_H-M 'C 1 2/m 1'
_symmetry_Int_Tables_number 12
loop_
_symmetry_equiv_pos_as_xyz
'x,y,z'
'-x,-y,-z'
'-x,y,-z'
'x,-y,z'
'x+1/2,y+1/2,z'
'-x+1/2,-y+1/2,-z'
'-x+1/2,y+1/2,-z'
'x+1/2,-y+1/2,z'
loop_
_atom_site_label
_atom_site_fract_x
_atom_site_fract_y
_atom_site_fract_z
Np1 0.186 0.000 0.402
Ga1 0.178 0.500 0.934
Pt1 0.000 0.500 0.500
Pt2 0.075 0.500 0.190
Pt3 0.127 0.000 0.746

# 3
# NpGaPt2, optimized geometry, DFT GGA-PBE
# Energy: -30.1 eV for the cell shown
# Energy of formation from the pure elements: -2.00 eV/f.u.
# Size of the total moment: 3.9 μB/f.u.
# Calculated volume: 17.63 Å³ per atom
data_NpGaPt2
_cell_length_a 3.074
_cell_length_b 3.074
_cell_length_c 7.465
_cell_angle_alpha 90.00
_cell_angle_beta 90.00
_cell_angle_gamma 90.00
_symmetry_space_group_name_H-M 'P 4/m m m'
_symmetry_Int_Tables_number 123
_symmetry_space_group_name_Hall '-P 4 2'
loop_
_atom_site_label
_atom_site_fract_x
_atom_site_fract_y
_atom_site_fract_z
Np1 0.000 0.000 0.000
Ga1 0.000 0.000 0.500
Pt1 0.500 0.500 0.292

# 4
# NpGa6Pt12, optimized geometry, DFT GGA-PBE
# Energy: -337.4 eV for the cell shown
# Energy of formation from the pure elements: -8.89 eV/f.u.
# Size of the total moment: 3.7 μB/f.u.
# Calculated volume: 17.30 Å³ per atom
data_NpGa6Pt12
_cell_length_a 11.7321
_cell_length_b 11.7321
_cell_length_c 8.2736
_cell_angle_alpha 90.00
_cell_angle_beta 90.00
_cell_angle_gamma 120.00
_symmetry_space_group_name_H-M 'R -3 m'
_symmetry_Int_Tables_number 166
_symmetry_space_group_name_Hall '-R 3 2"'
loop_
_atom_site_label
_atom_site_fract_x
_atom_site_fract_y
_atom_site_fract_z
Np1 0.0000 0.0000 0.0000
Ga1 0.0564 0.5282 0.2536
Pt1 0.0000 0.3730 0.5000
Pt2 0.0800 0.1600 0.2913

# 5
# PuNpGaPt, optimized geometry, DFT GGA-PBE
# Energy: -151.6 eV for the cell shown
# Energy of formation from the pure elements: -1.57 eV/f.u.
# Size of the total moment: 10.0 μB/f.u.
# Calculated volume: 19.97 Å³ per atom
data_PuNpGaPt
_cell_length_a 6.837
_cell_length_b 6.837
_cell_length_c 6.837
_cell_angle_alpha 90.00
_cell_angle_beta 90.00
_cell_angle_gamma 90.00
_symmetry_space_group_name_H-M 'F -4 3 m'
_symmetry_Int_Tables_number 216
_symmetry_space_group_name_Hall 'F -4 2 3'
loop_
_atom_site_label
_atom_site_fract_x
_atom_site_fract_y
_atom_site_fract_z
Pu1 0.000 0.000 0.000
Np1 0.250 0.250 0.750
Ga1 0.250 0.250 0.250
Pt1 0.000 0.000 0.500

# 6
# NpGaPtRh, optimized geometry, DFT GGA-PBE
# Energy: -124.9 eV for the cell shown
# Energy of formation from the pure elements: -1.85 eV/f.u.
# Size of the total moment: 3.3 μB/f.u.
# Calculated volume: 17.95 Å³ per atom
data_NpGaPtRh
_cell_length_a 6.598
_cell_length_b 6.598
_cell_length_c 6.598
_cell_angle_alpha 90.00
_cell_angle_beta 90.00
_cell_angle_gamma 90.00
_symmetry_space_group_name_H-M 'F -4 3 m'
_symmetry_Int_Tables_number 216
_symmetry_space_group_name_Hall 'F -4 2 3'
loop_
_atom_site_label
_atom_site_fract_x
_atom_site_fract_y
_atom_site_fract_z
Np1 0.000 0.000 0.000
Ga1 0.000 0.000 0.500
Pt1 0.250 0.250 0.250
Rh1 0.250 0.250 0.750